Version A
A plane-wave DFT calculation with PBE was carried out for an optimized crystal structure of Be2TcMo.

Results
Density of states at the Fermi level: 4.09 states/eV per cell

a b c (Å): 5.217 7.170 2.629
angles (deg): 90.00 101.77 90.00
Space group C2/m (No. 12)
Asymmetric unit:
Be 0.250 0.250 0.000 (multiplicity 4)
Tc 0.000 0.000 0.500 (multiplicity 2)
Mo 0.000 0.500 0.500 (multiplicity 2)


Version B
A plane-wave DFT calculation with PBE was carried out for an optimized crystal structure of Be2TcMo.

Results
Density of states at the Fermi level: 10.54 states/eV per cell

a b c (Å): 6.217 6.217 5.084
angles (deg): 90.00 90.00 90.00
Space group I-42d (No. 122)
Asymmetric unit:
Be 0.243 0.250 0.125 (multiplicity 8)
Tc 0.000 0.000 0.000 (multiplicity 4)
Mo 0.000 0.000 0.500 (multiplicity 4)


Version C
A plane-wave DFT calculation with PBE was carried out for an optimized crystal structure of Be2TcMo.

Results
Density of states at the Fermi level: 3.38 states/eV per cell

a b c (Å): 3.763 3.763 3.355
angles (deg): 90.00 90.00 90.00
Space group P4/mmm (No. 123)
Asymmetric unit:
Be 0.000 0.500 0.000 (multiplicity 2)
Tc 0.000 0.000 0.500 (multiplicity 1)
Mo 0.500 0.500 0.500 (multiplicity 1)


Version D
A plane-wave DFT calculation with PBE was carried out for an optimized crystal structure of Be2TcMo.

Results
Density of states at the Fermi level: 10.17 states/eV per cell

a b c (Å): 5.710 5.710 5.710
angles (deg): 90.00 90.00 90.00
Space group Fm-3m (No. 225)
Asymmetric unit:
Be 0.250 0.250 0.250 (multiplicity 8)
Tc 0.000 0.000 0.000 (multiplicity 4)
Mo 0.000 0.000 0.500 (multiplicity 4)


version A is preferred energetically. Next in line: 9 meV per atom higher.


Version A
A plane-wave DFT calculation with PBE was carried out for an optimized crystal structure of BeTc3Mo.

Results
Density of states at the Fermi level: 6.14 states/eV per cell

a b c (Å): 4.126 4.126 4.126
angles (deg): 90.00 90.00 90.00
Space group Pm-3m (No. 221)
Asymmetric unit:
Be 0.000 0.000 0.000 (multiplicity 1)
Tc 0.000 0.000 0.500 (multiplicity 3)
Mo 0.500 0.500 0.500 (multiplicity 1)


Version B
A plane-wave DFT calculation with PBE was carried out for an optimized crystal structure of BeTc3Mo.

Results
Density of states at the Fermi level: 5.26 states/eV per cell

a b c (Å): 4.650 4.650 4.650
angles (deg): 90.00 90.00 90.00
Space group Pm-3m (No. 221)
Asymmetric unit:
Be 0.000 0.000 0.000 (multiplicity 1)
Tc 0.000 0.500 0.500 (multiplicity 3)
Mo 0.500 0.500 0.500 (multiplicity 1)


version A is preferred energetically. Next in line: 1476 meV per atom higher.


Version A
A plane-wave DFT calculation with PBE was carried out for an optimized crystal structure of BeTcMo3.

Results
Density of states at the Fermi level: 5.20 states/eV per cell

a b c (Å): 4.206 4.206 4.206
angles (deg): 90.00 90.00 90.00
Space group Pm-3m (No. 221)
Asymmetric unit:
Be 0.000 0.000 0.000 (multiplicity 1)
Tc 0.500 0.500 0.500 (multiplicity 1)
Mo 0.000 0.000 0.500 (multiplicity 3)


Version B
A plane-wave DFT calculation with PBE was carried out for an optimized crystal structure of BeTcMo3.

Results
Density of states at the Fermi level: 5.55 states/eV per cell

a b c (Å): 4.668 4.668 4.668
angles (deg): 90.00 90.00 90.00
Space group Pm-3m (No. 221)
Asymmetric unit:
Be 0.000 0.000 0.000 (multiplicity 1)
Tc 0.500 0.500 0.500 (multiplicity 1)
Mo 0.000 0.500 0.500 (multiplicity 3)


version A is preferred energetically. Next in line: 1119 meV per atom higher.


Version A
A plane-wave DFT calculation with PBE was carried out for an optimized crystal structure of BeTeMo2.

Results
Density of states at the Fermi level: 3.00 states/eV per cell

a b c (Å): 3.227 3.227 6.102
angles (deg): 90.00 90.00 90.00
Space group P4/mmm (No. 123)
Asymmetric unit:
Be 0.000 0.000 0.000 (multiplicity 1)
Te 0.000 0.000 0.500 (multiplicity 1)
Mo 0.500 0.500 0.201 (multiplicity 2)


Version B
A plane-wave DFT calculation with PBE was carried out for an optimized crystal structure of BeTeMo2.

Results
Density of states at the Fermi level: 5.65 states/eV per cell

a b c (Å): 3.443 4.393 8.329
angles (deg): 90.00 90.00 90.00
Space group Imm2 (No. 44)
Asymmetric unit:
Be 0.000 0.000 0.000 (multiplicity 2)
Te 0.000 0.500 0.242 (multiplicity 2)
Mo 0.000 0.000 0.481 (multiplicity 2)
Mo 0.000 0.500 0.729 (multiplicity 2)


Version C
A plane-wave DFT calculation with PBE was carried out for an optimized crystal structure of BeTeMo2.

Results
Density of states at the Fermi level: 5.59 states/eV per cell

a b c (Å): 3.313 4.760 8.830
angles (deg): 90.00 90.00 90.00
Space group Cmm2 (No. 35)
Asymmetric unit:
Be 0.000 0.000 0.000 (multiplicity 2)
Te 0.000 0.500 0.297 (multiplicity 2)
Mo 0.000 0.000 0.574 (multiplicity 2)
Mo 0.000 0.500 0.806 (multiplicity 2)


version A is preferred energetically. Next in line: 81 meV per atom higher.


Version A
A plane-wave DFT calculation with PBE was carried out for an optimized crystal structure of BeTeMo2.

Results
Density of states at the Fermi level: 5.15 states/eV per cell

a b c (Å): 3.465 4.650 7.758
angles (deg): 90.00 90.00 90.00
Space group Immm (No. 71)
Asymmetric unit:
Be 0.000 0.000 0.000 (multiplicity 2)
Te 0.000 0.000 0.500 (multiplicity 2)
Mo 0.000 0.500 0.299 (multiplicity 4)


Version B
A plane-wave DFT calculation with PBE was carried out for an optimized crystal structure of BeTeMo2.

Results
Density of states at the Fermi level: 2.38 states/eV per cell

a b c (Å): 3.210 4.318 4.818
angles (deg): 90.00 95.41 90.00
Space group Pm (No. 6)
Asymmetric unit:
Be 0.000 0.000 0.000 (multiplicity 1)
Te 0.458 0.500 0.889 (multiplicity 1)
Mo 0.019 0.500 0.330 (multiplicity 1)
Mo 0.396 0.000 0.526 (multiplicity 1)


version A is preferred energetically. Next in line: 111 meV per atom higher.


Version A
A plane-wave DFT calculation with PBE was carried out for an optimized crystal structure of BeTeMo2.

Results
Density of states at the Fermi level: 6.82 states/eV per cell

a b c (Å): 5.464 8.359 3.070
angles (deg): 90.00 111.31 90.00
Space group C2/m (No. 12)
Asymmetric unit:
Be 0.000 0.000 0.000 (multiplicity 2)
Te 0.000 0.500 0.000 (multiplicity 2)
Mo 0.250 0.250 0.500 (multiplicity 4)


Version B
A plane-wave DFT calculation with PBE was carried out for an optimized crystal structure of BeTeMo2.

Results
Density of states at the Fermi level: 12.21 states/eV per cell

a b c (Å): 3.1783 3.1783 23.9489
angles (deg): 90.00 90.00 120.00
Space group R3m (No. 160, hexagonal axes)
Asymmetric unit:
Be 0.0000 0.0000 0.0000 (multiplicity 3)
Te 0.0000 0.0000 0.2440 (multiplicity 3)
Mo 0.0000 0.0000 0.4841 (multiplicity 3)
Mo 0.0000 0.0000 0.7423 (multiplicity 3)


Version C
A plane-wave DFT calculation with PBE was carried out for an optimized crystal structure of BeTeMo2.

Results
Density of states at the Fermi level: 11.53 states/eV per cell

a b c (Å): 3.885 3.885 18.463
angles (deg): 90.00 90.00 90.00
Space group I-42d (No. 122)
Asymmetric unit:
Be 0.000 0.000 0.000 (multiplicity 4)
Te 0.000 0.000 0.500 (multiplicity 4)
Mo 0.200 0.250 0.125 (multiplicity 8)


Version D
A plane-wave DFT calculation with PBE was carried out for an optimized crystal structure of BeTeMo2.

Results
Density of states at the Fermi level: 1.51 states/eV per cell

a b c (Å): 3.250 3.250 5.968
angles (deg): 90.00 90.00 90.00
Space group P4mm (No. 99)
Asymmetric unit:
Be 0.000 0.000 0.000 (multiplicity 1)
Te 0.500 0.500 0.696 (multiplicity 1)
Mo 0.000 0.000 0.423 (multiplicity 1)
Mo 0.500 0.500 0.158 (multiplicity 1)


version D is preferred energetically. Next in line: 398 meV per atom higher.


Version A
A plane-wave DFT calculation with PBE was carried out for an optimized crystal structure of BeTeMo2.

Results
Density of states at the Fermi level: 4.20 states/eV per cell

a b c (Å): 4.348 4.348 3.322
angles (deg): 90.00 90.00 90.00
Space group P4/mmm (No. 123)
Asymmetric unit:
Be 0.000 0.000 0.000 (multiplicity 1)
Te 0.500 0.500 0.000 (multiplicity 1)
Mo 0.000 0.500 0.500 (multiplicity 2)


Version B
A plane-wave DFT calculation with PBE was carried out for an optimized crystal structure of BeTeMo2.

Results
Density of states at the Fermi level: 21.38 states/eV per cell

a b c (Å): 6.290 6.290 6.290
angles (deg): 90.00 90.00 90.00
Space group Fm-3m (No. 225)
Asymmetric unit:
Be 0.000 0.000 0.000 (multiplicity 4)
Te 0.000 0.000 0.500 (multiplicity 4)
Mo 0.250 0.250 0.250 (multiplicity 8)


version B is preferred energetically. Next in line: 53 meV per atom higher.


Version A
A plane-wave DFT calculation with PBE was carried out for an optimized crystal structure of BeTe3Mo.

Results
Density of states at the Fermi level: 6.16 states/eV per cell

a b c (Å): 5.303 5.303 5.303
angles (deg): 90.00 90.00 90.00
Space group Pm-3m (No. 221)
Asymmetric unit:
Be 0.000 0.000 0.000 (multiplicity 1)
Te 0.000 0.500 0.500 (multiplicity 3)
Mo 0.500 0.500 0.500 (multiplicity 1)


Version B
A plane-wave DFT calculation with PBE was carried out for an optimized crystal structure of BeTe3Mo.

Results
Density of states at the Fermi level: 3.56 states/eV per cell

a b c (Å): 4.935 4.935 4.935
angles (deg): 90.00 90.00 90.00
Space group Pm-3m (No. 221)
Asymmetric unit:
Be 0.000 0.000 0.000 (multiplicity 1)
Te 0.000 0.000 0.500 (multiplicity 3)
Mo 0.500 0.500 0.500 (multiplicity 1)


version B is preferred energetically. Next in line: 34 meV per atom higher.


Version A
A plane-wave DFT calculation with PBE was carried out for an optimized crystal structure of BeTeMo.

Results
Density of states at the Fermi level: 6.88 states/eV per cell

a b c (Å): 6.121 6.121 6.121
angles (deg): 90.00 90.00 90.00
Space group F-43m (No. 216)
Asymmetric unit:
Be 0.000 0.000 0.000 (multiplicity 4)
Te 0.000 0.000 0.500 (multiplicity 4)
Mo 0.250 0.250 0.750 (multiplicity 4)


Version B
A plane-wave DFT calculation with PBE was carried out for an optimized crystal structure of BeTeMo.

Results
Density of states at the Fermi level: 2.26 states/eV per cell

a b c (Å): 4.6711 4.6711 2.7667
angles (deg): 90.00 90.00 120.00
Space group P3m1 (No. 156)
Asymmetric unit:
Be 0.0000 0.0000 0.0000 (multiplicity 1)
Te 0.3333 0.6667 0.8831 (multiplicity 1)
Mo 0.6667 0.3333 0.6969 (multiplicity 1)


Version C
A plane-wave DFT calculation with PBE was carried out for an optimized crystal structure of BeTeMo.

Results
Density of states at the Fermi level: 1.13 states/eV per cell

a b c (Å): 3.341 3.341 8.297
angles (deg): 90.00 90.00 90.00
Space group I4mm (No. 107)
Asymmetric unit:
Be 0.000 0.000 0.000 (multiplicity 2)
Te 0.000 0.000 0.680 (multiplicity 2)
Mo 0.000 0.000 0.351 (multiplicity 2)


version C is preferred energetically. Next in line: 603 meV per atom higher.


Version A
A plane-wave DFT calculation with PBE was carried out for an optimized crystal structure of TiBe3Mo.

Results
Density of states at the Fermi level: 1.08 states/eV per cell

a b c (Å): 4.172 4.172 4.172
angles (deg): 90.00 90.00 90.00
Space group Pm-3m (No. 221)
Asymmetric unit:
Ti 0.000 0.000 0.000 (multiplicity 1)
Be 0.000 0.500 0.500 (multiplicity 3)
Mo 0.500 0.500 0.500 (multiplicity 1)


Version B
A plane-wave DFT calculation with PBE was carried out for an optimized crystal structure of TiBe3Mo.

Results
Density of states at the Fermi level: 7.44 states/eV per cell

a b c (Å): 4.121 4.121 4.121
angles (deg): 90.00 90.00 90.00
Space group Pm-3m (No. 221)
Asymmetric unit:
Ti 0.000 0.000 0.000 (multiplicity 1)
Be 0.000 0.000 0.500 (multiplicity 3)
Mo 0.500 0.500 0.500 (multiplicity 1)


version A is preferred energetically. Next in line: 656 meV per atom higher.


Version A
A plane-wave DFT calculation with PBE was carried out for an optimized crystal structure of TiBe2Mo.

Results
Density of states at the Fermi level: 1.95 states/eV per cell

a b c (Å): 3.756 3.756 3.480
angles (deg): 90.00 90.00 90.00
Space group P4/mmm (No. 123)
Asymmetric unit:
Ti 0.000 0.000 0.000 (multiplicity 1)
Be 0.000 0.500 0.500 (multiplicity 2)
Mo 0.500 0.500 0.000 (multiplicity 1)


Version B
A plane-wave DFT calculation with PBE was carried out for an optimized crystal structure of TiBe2Mo.

Results
Density of states at the Fermi level: 12.79 states/eV per cell

a b c (Å): 5.808 5.808 5.808
angles (deg): 90.00 90.00 90.00
Space group Fm-3m (No. 225)
Asymmetric unit:
Ti 0.000 0.000 0.000 (multiplicity 4)
Be 0.250 0.250 0.250 (multiplicity 8)
Mo 0.000 0.000 0.500 (multiplicity 4)


version A is preferred energetically. Next in line: 101 meV per atom higher.


Version A
A plane-wave DFT calculation with PBE was carried out for an optimized crystal structure of TiBe2Mo.

Results
Density of states at the Fermi level: 7.33 states/eV per cell

a b c (Å): 6.481 6.481 4.937
angles (deg): 90.00 90.00 90.00
Space group I-42d (No. 122)
Asymmetric unit:
Ti 0.000 0.000 0.000 (multiplicity 4)
Be 0.243 0.750 0.625 (multiplicity 8)
Mo 0.000 0.000 0.500 (multiplicity 4)


Version B
A plane-wave DFT calculation with PBE was carried out for an optimized crystal structure of TiBe2Mo.

Results
Density of states at the Fermi level: 2.09 states/eV per cell

a b c (Å): 3.147 3.147 5.009
angles (deg): 90.00 90.00 90.00
Space group P4/mmm (No. 123)
Asymmetric unit:
Ti 0.000 0.000 0.000 (multiplicity 1)
Be 0.500 0.500 0.275 (multiplicity 2)
Mo 0.000 0.000 0.500 (multiplicity 1)


version B is preferred energetically. Next in line: 363 meV per atom higher.